Below is an optimized crystal structure of TeSe2Br2, with properties calculated at the GGA-PBEsol level.

Cell and atoms, written as POSCAR:
```
TeSe2Br2
1.0
7.287 0.000 0.000
0.000 7.287 0.000
0.000 0.000 4.903
Te Se Br
2 4 4
Cartesian
0.000 0.000 0.000
3.644 3.644 0.000
0.813 2.830 0.000
2.830 6.474 0.000
4.457 0.813 0.000
6.474 4.457 0.000
1.678 5.322 2.451
1.965 1.678 2.451
5.322 5.609 2.451
5.609 1.965 2.451
```

Computed properties:
N(E_F) = 7.2 states/eV per cell
Space group = P4/mbm, No. 127
Crystal system = tetragonal
Formation energy without anion corrections = 1.30 eV/f.u.